(1)
# PuScPd2

A relaxed structure of PuScPd2 (PBE, Alexandria via LeMat-Bulk).

DOS at the Fermi energy   2.4721 states/eV per atom
E_form   -663 meV per atom
Volume   19.85 Å³/atom
ρ   10.50 Mg/m³
Spin magnetization   5.884 μB per cell

POSCAR file:
```
PuScPd2
1.0
-2.6445 1.0539 -1.7181
-1.9150 -0.4296 2.6840
1.3580 6.7474 2.0489
Sc Pu Pd
1 1 2
Cartesian
-2.2797 0.3122 0.4830 Sc
-1.6007 3.6859 1.5074 Pu
1.0661 5.2970 1.6085 Pd
0.2919 1.4504 0.4404 Pd
```

---

(2)
# AlCu2SiNi

A relaxed structure of AlCu2SiNi (PBE, Alexandria via LeMat-Bulk).

DOS at the Fermi energy   0.6193 states/eV per atom
Volume   16.92 Å³/atom
ρ   4.73 Mg/m³
Raw formation energy   0.669 eV/atom
Spin magnetization   0.000 μB per cell

POSCAR file:
```
AlCu2SiNi
1.0
-3.2202 -2.8498 -1.0401
2.0896 -3.1832 2.2524
-2.1493 1.1221 3.5798
Ni Si Cu Al
1 1 2 1
Cartesian
0.0000 0.0000 0.0000 Ni
-1.6400 -2.4555 2.3960 Si
1.0448 -1.5916 1.1262 Cu
-1.6101 -1.4249 -0.5201 Cu
-1.0747 0.5611 1.7899 Al
```

---

Which value of ρ does entry 1 give? 10.50 Mg/m³

---

Among the records above, which one has the lowest DOS at the Fermi energy? AlCu2SiNi